Density functional theory data (PBE-GGA) for a relaxed structure of La2YCd.

Unit cell a=3.882 b=5.716 c=11.712 alpha=90.00 beta=90.00 gamma=90.00
Space group Imm2 (No. 44)
Unique sites:
La (0.000, 0.000, 0.000) (multiplicity 2)
La (0.000, 0.500, 0.223) (multiplicity 2)
Y (0.000, 0.000, 0.448) (multiplicity 2)
Cd (0.000, 0.500, 0.734) (multiplicity 2)

## Properties
The total magnetization comes out at 0.000 Bohr magnetons per cell. As for the raw total energy: -4.4585 eV per atom. For the formation energy, the calculation gives -0.150 eV/atom. The calculated volume is 32.49 A^3/atom.